[1]
! Zr2ZnN GGA-PBE optimized geometry; values from VASP
&SYSTEM
  ibrav = 0, nat = 24, ntyp = 3
/
ATOMIC_SPECIES
N 14.01 N.upf
Zn 65.41 Zn.upf
Zr 91.22 Zr.upf
CELL_PARAMETERS angstrom
0.1075 5.2654 2.1628
-0.2012 0.7703 5.6373
14.0583 -2.5394 -2.0364
ATOMIC_POSITIONS crystal
N 0.5000 0.0000 0.0000
N 0.8285 0.3357 0.0000
N 0.1715 0.6643 0.0000
N 0.3357 0.8285 0.5000
N 0.0000 0.5000 0.5000
N 0.6643 0.1715 0.5000
Zn 0.5835 0.7876 0.2498
Zn 0.9560 0.0440 0.2500
Zn 0.2124 0.4165 0.2502
Zn 0.7876 0.5835 0.7498
Zn 0.0440 0.9560 0.7500
Zn 0.4165 0.2124 0.7502
Zr 0.8613 0.6957 0.0866
Zr 0.1967 0.0281 0.0866
Zr 0.5311 0.3657 0.0927
Zr 0.6343 0.4689 0.4073
Zr 0.9719 0.8033 0.4134
Zr 0.3043 0.1387 0.4134
Zr 0.6957 0.8613 0.5866
Zr 0.0281 0.1967 0.5866
Zr 0.3657 0.5311 0.5927
Zr 0.4689 0.6343 0.9073
Zr 0.8033 0.9719 0.9134
Zr 0.1387 0.3043 0.9134
! Calculated total energy, eV per cell: -182.8
! Magnetic moment, μB per formula unit: 0.002
! SG: No. 15

[2]
! KRbZn2AsP GGA-PBE optimized geometry; values from VASP
&SYSTEM
  ibrav = 0, nat = 6, ntyp = 5
/
ATOMIC_SPECIES
As 74.92 As.upf
K 39.10 K.upf
P 30.97 P.upf
Rb 85.47 Rb.upf
Zn 65.41 Zn.upf
CELL_PARAMETERS angstrom
4.1912 0.0000 0.0000
-2.0956 3.6297 0.0000
0.0000 0.0000 10.6524
ATOMIC_POSITIONS crystal
As 0.0000 0.0000 0.7567
K 0.6667 0.3333 0.0029
P 0.3333 0.6667 0.2436
Rb 0.6667 0.3333 0.4970
Zn 0.0000 0.0000 0.2431
Zn 0.3333 0.6667 0.7568
! Calculated total energy, eV per cell: -17.3
! SG: No. 156

Please write out number 2 again, unchanged.
! KRbZn2AsP GGA-PBE optimized geometry; values from VASP
&SYSTEM
  ibrav = 0, nat = 6, ntyp = 5
/
ATOMIC_SPECIES
As 74.92 As.upf
K 39.10 K.upf
P 30.97 P.upf
Rb 85.47 Rb.upf
Zn 65.41 Zn.upf
CELL_PARAMETERS angstrom
4.1912 0.0000 0.0000
-2.0956 3.6297 0.0000
0.0000 0.0000 10.6524
ATOMIC_POSITIONS crystal
As 0.0000 0.0000 0.7567
K 0.6667 0.3333 0.0029
P 0.3333 0.6667 0.2436
Rb 0.6667 0.3333 0.4970
Zn 0.0000 0.0000 0.2431
Zn 0.3333 0.6667 0.7568
! Calculated total energy, eV per cell: -17.3
! SG: No. 156

- Which of these has the lowest calculated total energy?
  Zr2ZnN

- Which formula does entry 1 have?
  Zr2ZnN

- Among the records above, which one has the lowest calculated total energy?
  Zr2ZnN